Compound: CrPbF2
Source: the Alexandria database
Functional: GGA+U
Structure: relaxed

Volume ... 16.540 A^3/atom
Mass density ... 7.46 g cm⁻³
Magnetic moment ... 1.54 Bohr magnetons per cell
Energy above the most stable polymorph in this dataset ... 1063 meV per atom

Cell: 4.540 4.540 4.540 Å, 60.00 60.00 60.00°
Site moments in Bohr magnetons follow the coordinates.
Positions (direct):
Pb  0.500  0.500  0.500  0.00
Cr  0.000  0.000  0.000  1.43
F  0.250  0.250  0.250  0.02
F  0.750  0.750  0.750  0.02